# TaTe2N2 (PBE-GGA, optimized geometry)
data_TaTe2N2
_cell_length_a 5.550
_cell_length_b 5.550
_cell_length_c 3.898
_cell_angle_alpha 90.00
_cell_angle_beta 90.00
_cell_angle_gamma 90.00
_symmetry_space_group_name_H-M 'P 4/m m m'
_symmetry_Int_Tables_number 123
_symmetry_space_group_name_Hall '-P 4 2'
loop_
_atom_site_label
_atom_site_type_symbol
_atom_site_fract_x
_atom_site_fract_y
_atom_site_fract_z
_atom_site_occupancy
Ta1 Ta 0.000 0.000 0.000 1
Te1 Te 0.000 0.500 0.000 1
N1 N 0.000 0.000 0.500 1
N2 N 0.500 0.500 0.500 1
# Energy above the lowest structure with this stoichiometry, kJ per mole of atoms: 70.5
# ΔE_f (raw), eV per atom: 1.14

# KCrSi2 (PBE-GGA, optimized geometry)
data_KCrSi2
_cell_length_a 4.484
_cell_length_b 4.484
_cell_length_c 8.191
_cell_angle_alpha 90.00
_cell_angle_beta 90.00
_cell_angle_gamma 90.00
_symmetry_space_group_name_H-M 'I -4 m 2'
_symmetry_Int_Tables_number 119
_symmetry_space_group_name_Hall 'I -4 -2'
loop_
_atom_site_label
_atom_site_type_symbol
_atom_site_fract_x
_atom_site_fract_y
_atom_site_fract_z
_atom_site_occupancy
K1 K 0.000 0.000 0.000 1
Cr1 Cr 0.000 0.500 0.250 1
Si1 Si 0.000 0.000 0.500 1
Si2 Si 0.000 0.500 0.750 1
# Energy above the lowest structure with this stoichiometry, kJ per mole of atoms: 75.2
# ΔE_f (raw), eV per atom: 0.93

For each record above, in turn, the calculated N(E_F) values are 4.207, 4.231 states/eV/cell.
For each record above, in turn, the calculated calculated volume values are 24.0, 20.6 Å³ per atom.
For each record above, in turn, the calculated total energy values are -5.817, -4.457 eV per atom.